Here is BaTlTc2 after structural relaxation from Alexandria. Energies are from PBE.

extended XYZ file:
```
8
Lattice="9.8704 0.0000 0.0000 0.0000 3.9606 0.0000 -2.2107 0.0000 5.8281" Properties=species:S:1:pos:R:3 pbc="T T T"
Ba 0.0000 0.0000 0.0000
Ba 4.9352 1.9803 0.0000
Tl -1.1054 1.9803 2.9140
Tl 3.8298 0.0000 2.9140
Tc 1.0371 0.0000 3.4647
Tc 1.6874 1.9803 2.3633
Tc 5.9723 1.9803 3.4647
Tc 6.6226 0.0000 2.3633
```

E_form, eV/atom: 0.551
Final energy, eV/atom: -5.705
Polymorph energy (0 for the lowest one), meV per atom: 239.7
Theoretical density, g/cm³: 7.84